# 1
SrGeSb2 after structural relaxation. Source: Alexandria, functional GGA-PBE. Values from VASP.

## Properties
Formation energy (no corrections) = -0.3365 eV per atom
V = 269.5 Å³ per cell

Structure (Quantum ESPRESSO input):
```
&SYSTEM
  ibrav = 0, nat = 8, ntyp = 3
/
ATOMIC_SPECIES
Sr 87.62 Sr.upf
Ge 72.64 Ge.upf
Sb 121.76 Sb.upf
ATOMIC_POSITIONS crystal
Sr 0.0000 0.0000 0.0000
Sr 0.7500 0.2500 0.5000
Ge 0.2500 0.7500 0.5000
Ge 0.5000 0.5000 0.0000
Sb 0.1972 0.6250 0.0722
Sb 0.3750 0.4472 0.5722
Sb 0.5528 0.1250 0.9278
Sb 0.8750 0.8028 0.4278
CELL_PARAMETERS angstrom
-3.9396 3.9396 4.3409
3.9396 -3.9396 4.3409
3.9396 3.9396 -4.3409
```

# 2
Pm3RhI2 after structural relaxation. Source: Alexandria, functional GGA-PBE. Values from VASP.

## Properties
Formation energy (no corrections) = -0.8778 eV per atom
V = 189.5 Å³ per cell

Structure (Quantum ESPRESSO input):
```
&SYSTEM
  ibrav = 0, nat = 6, ntyp = 3
/
ATOMIC_SPECIES
Pm 145.00 Pm.upf
Rh 102.91 Rh.upf
I 126.90 I.upf
ATOMIC_POSITIONS crystal
Pm 0.0000 0.0000 0.0000
Pm 0.3796 0.3796 0.0000
Pm 0.6204 0.6204 0.0000
Rh 0.5000 0.0000 0.5000
I 0.1853 0.6853 0.5000
I 0.8147 0.3147 0.5000
CELL_PARAMETERS angstrom
-2.0243 3.0913 7.5716
2.0243 -3.0913 7.5716
2.0243 3.0913 -7.5716
```

# 3
HoErGa after structural relaxation. Source: Alexandria, functional GGA-PBE. Values from VASP.

## Properties
E above lowest polymorph = 0.77 eV per formula unit
V = 161.5 Å³ per cell

Structure (Quantum ESPRESSO input):
```
&SYSTEM
  ibrav = 0, nat = 6, ntyp = 3
/
ATOMIC_SPECIES
Ho 164.93 Ho.upf
Er 167.26 Er.upf
Ga 69.72 Ga.upf
ATOMIC_POSITIONS crystal
Ho 0.3333 0.6667 0.4037
Ho 0.6667 0.3333 0.5963
Er 0.3333 0.6667 0.7913
Er 0.6667 0.3333 0.2087
Ga 0.3333 0.6667 0.0584
Ga 0.6667 0.3333 0.9416
CELL_PARAMETERS angstrom
3.5608 0.0000 0.0000
-1.7804 3.0837 0.0000
0.0000 0.0000 14.7099
```